The following is a GGA+U calculation of an optimized crystal structure of MnVO2F, from the Alexandria database.

Fermi-level density of states: 2.39 states/eV per cell
Electronic total energy: -5.90 eV/atom
Total magnetic moment: 5.00 μB/f.u.
Space group: No. 123
Crystal system: tetragonal

```
data_MnVO2F
_cell_length_a 3.5791
_cell_length_b 3.5791
_cell_length_c 5.5616
_cell_angle_alpha 90.00
_cell_angle_beta 90.00
_cell_angle_gamma 90.00
_space_group_name_H-M_alt 'P 1'
_space_group_IT_number 1
loop_
_space_group_symop_operation_xyz
'x,y,z'
loop_
_atom_site_label
_atom_site_type_symbol
_atom_site_fract_x
_atom_site_fract_y
_atom_site_fract_z
Mn1 Mn 0.0000 0.0000 0.0000
V1 V 0.0000 0.0000 0.5000
O1 O 0.0000 0.5000 0.0000
O2 O 0.5000 0.0000 0.0000
F1 F 0.5000 0.5000 0.5000
```